! MnC2O6 (GGA+U, optimized geometry); values from VASP
&SYSTEM
  ibrav = 0, nat = 9, ntyp = 3
/
ATOMIC_SPECIES
Mn 54.94 Mn.upf
C 12.01 C.upf
O 16.00 O.upf
ATOMIC_POSITIONS crystal
Mn 0.000 0.000 0.000
C 0.268 0.268 0.268
C 0.732 0.732 0.732
O 0.009 0.558 0.232
O 0.232 0.009 0.558
O 0.442 0.768 0.991
O 0.558 0.232 0.009
O 0.768 0.991 0.442
O 0.991 0.442 0.768
CELL_PARAMETERS angstrom
2.341 1.351 5.570
-2.341 1.351 5.570
0.000 -2.703 5.570
! V = 105.71 Å³ per cell
! energy above the most stable polymorph in this dataset = 0 meV/atom
! density = 2.748 g cm⁻³